1.
Rb2AsI | GGA-PBE | optimized geometry

Cell and atoms, written as extended XYZ:
```
4
Lattice="0.0000 4.3959 4.3959 4.3959 0.0000 4.3959 4.3959 4.3959 0.0000" Properties=species:S:1:pos:R:3 pbc="T T T"
Rb 2.1980 2.1980 2.1980
Rb 6.5939 6.5939 6.5939
As 0.0000 0.0000 0.0000
I 4.3959 4.3959 4.3959
```

Output
Energy in eV/atom: -2.51
Crystal system: cubic
Density of states at the Fermi level in states/eV per atom: 1.473


2.
BeAl2Se | GGA-PBE | optimized geometry

Cell and atoms, written as extended XYZ:
```
4
Lattice="2.6363 -4.7899 0.0000 2.6363 4.7899 0.0000 -2.2688 0.0000 2.6835" Properties=species:S:1:pos:R:3 pbc="T T T"
Be 0.0000 0.0000 0.0000
Al 0.1837 2.3950 1.3417
Al 0.1837 -2.3950 1.3417
Se 2.6363 0.0000 0.0000
```

Output
Energy in eV/atom: -3.48
Crystal system: monoclinic
Density of states at the Fermi level in states/eV per atom: 0.236


3.
SrGe3Au | GGA-PBE | optimized geometry

Cell and atoms, written as extended XYZ:
```
10
Lattice="2.1937 -11.7505 0.0000 2.1937 11.7505 0.0000 0.0000 0.0000 4.5049" Properties=species:S:1:pos:R:3 pbc="T T T"
Sr 2.1937 7.7905 0.0000
Sr 2.1937 -7.7905 0.0000
Ge 2.1937 10.4987 2.2524
Ge 2.1937 5.2365 2.2524
Ge 2.1937 1.2609 0.0000
Ge 2.1937 -1.2609 0.0000
Ge 2.1937 -5.2365 2.2524
Ge 2.1937 -10.4987 2.2524
Au 2.1937 2.6932 2.2524
Au 2.1937 -2.6932 2.2524
```

Output
Crystal system: orthorhombic
Density of states at the Fermi level in states/eV per atom: 0.310
Formation energy from the elements in eV/atom: -0.326


4.
Sr6TlGe2 | GGA-PBE | optimized geometry

Cell and atoms, written as extended XYZ:
```
18
Lattice="-5.3015 5.5239 5.7656 5.3015 -5.5239 5.7656 5.3015 5.5239 -5.7656" Properties=species:S:1:pos:R:3 pbc="T T T"
Sr 5.3015 3.3910 -2.9441
Sr 2.9571 1.9465 0.0000
Sr 7.6458 1.9465 0.0000
Sr 1.9124 5.5239 -1.8906
Sr 3.3891 0.0000 3.8750
Sr 0.0000 2.1328 2.8215
Sr 5.3015 3.3910 2.9441
Sr 1.9124 5.5239 1.8906
Sr 3.3891 0.0000 7.6562
Sr -2.3443 3.5774 5.7656
Sr 2.3443 3.5774 5.7656
Sr 0.0000 2.1328 8.7097
Tl 0.0000 0.0000 0.0000
Tl 0.0000 0.0000 5.7656
Ge 5.3015 0.0000 1.3118
Ge 0.0000 3.6251 0.0000
Ge 0.0000 7.4226 0.0000
Ge 0.0000 5.5239 4.4538
```

Output
Crystal system: orthorhombic
Density of states at the Fermi level in states/eV per atom: 0.850
Formation energy from the elements in eV/atom: -0.412


5.
BiPbI2O | GGA-PBE | optimized geometry

Cell and atoms, written as extended XYZ:
```
5
Lattice="6.5209 0.0000 0.0000 0.0000 6.5209 0.0000 0.0000 0.0000 4.2302" Properties=species:S:1:pos:R:3 pbc="T T T"
Bi 0.0000 0.0000 0.0000
Pb 3.2605 3.2605 2.1151
I 0.0000 3.2605 2.1151
I 3.2605 0.0000 2.1151
O 3.2605 3.2605 0.0000
```

Output
Energy in eV/atom: -3.17
Crystal system: tetragonal
Density of states at the Fermi level in states/eV per atom: 0.770


6.
KSrMg3 | GGA-PBE | optimized geometry

Cell and atoms, written as extended XYZ:
```
5
Lattice="6.5483 0.0000 0.0000 0.0000 6.5483 0.0000 0.0000 0.0000 6.5483" Properties=species:S:1:pos:R:3 pbc="T T T"
K 0.0000 0.0000 0.0000
Sr 3.2742 3.2742 3.2742
Mg 0.0000 3.2742 3.2742
Mg 3.2742 0.0000 3.2742
Mg 3.2742 3.2742 0.0000
```

Output
Crystal system: cubic
Density of states at the Fermi level in states/eV per atom: 0.927
Formation energy from the elements in eV/atom: 0.621


7.
NaTbGa | GGA-PBE | optimized geometry

Cell and atoms, written as extended XYZ:
```
6
Lattice="3.0164 -2.9254 0.0000 3.0164 2.9254 0.0000 -3.0108 0.0000 9.0614" Properties=species:S:1:pos:R:3 pbc="T T T"
Na 1.4979 0.0000 0.0092
Na 1.5242 0.0000 9.0522
Tb 0.0071 0.0000 5.6883
Tb 3.0149 0.0000 3.3731
Ga -0.0075 0.0000 2.6528
Ga 3.0296 0.0000 6.4085
```

Output
Crystal system: monoclinic
Density of states at the Fermi level in states/eV per atom: 1.104
Formation energy from the elements in eV/atom: -0.119


8.
Zn2In2Si | GGA-PBE | optimized geometry

Cell and atoms, written as extended XYZ:
```
10
Lattice="6.5525 0.0000 0.0000 0.0000 6.5525 0.0000 0.0000 0.0000 4.9174" Properties=species:S:1:pos:R:3 pbc="T T T"
Zn 0.8945 2.3817 0.0000
Zn 2.3817 5.6580 0.0000
Zn 4.1707 0.8945 0.0000
Zn 5.6580 4.1707 0.0000
In 1.1628 4.4391 2.4587
In 2.1134 1.1628 2.4587
In 4.4391 5.3896 2.4587
In 5.3896 2.1134 2.4587
Si 0.0000 0.0000 0.0000
Si 3.2762 3.2762 0.0000
```

Output
Energy in eV/atom: -2.47
Crystal system: tetragonal
Density of states at the Fermi level in states/eV per atom: 0.285


9.
Cu2AgTe4As | GGA-PBE | optimized geometry

Cell and atoms, written as extended XYZ:
```
8
Lattice="-3.1034 3.1034 5.9885 3.1034 -3.1034 5.9885 3.1034 3.1034 -5.9885" Properties=species:S:1:pos:R:3 pbc="T T T"
Cu 3.1034 0.0000 2.9942
Cu 0.0000 3.1034 2.9942
Ag 0.0000 0.0000 0.0000
Te 1.5862 1.5862 -1.6537
Te 1.5172 -1.5172 7.6422
Te 1.5172 1.5172 4.3347
Te -1.5172 1.5172 7.6422
As 0.0000 0.0000 5.9885
```

Output
Energy in eV/atom: -3.57
Crystal system: tetragonal
Density of states at the Fermi level in states/eV per atom: 0.337


10.
Ba2RhAu | GGA-PBE | optimized geometry

Cell and atoms, written as extended XYZ:
```
4
Lattice="4.6949 0.0000 0.0000 0.0000 2.2972 5.9038 0.0000 -2.2972 5.9038" Properties=species:S:1:pos:R:3 pbc="T T T"
Ba 0.0000 0.0000 0.0000
Ba 2.3475 0.0000 3.3225
Rh 2.3475 0.0000 6.7955
Au 0.0000 0.0000 8.3167
```

Output
Crystal system: orthorhombic
Density of states at the Fermi level in states/eV per atom: 0.295
Formation energy from the elements in eV/atom: -0.408


- The lowest density of states at the Fermi level belongs to which entry?
  BeAl2Se